First-principles (meta-GGA SCAN) data for AlNiAg2Sb at its PBEsol-relaxed geometry, as listed in Alexandria via LeMat-Bulk.

Unit cell a=4.844 b=4.844 c=4.539 alpha=90.00 beta=90.00 gamma=90.00
Fractional coordinates of all 5 atoms:
Al 0.000 0.000 0.000
Ni 0.500 0.500 0.500
Ag 0.000 0.500 0.500
Ag 0.500 0.000 0.500
Sb 0.500 0.500 0.000

Summary:
Energy relative to the elements, uncorrected (meV per atom): 490
Crystal system: tetragonal
Space-group type: P4/mmm (123)

=====

First-principles (meta-GGA SCAN) data for LiAg3 at its PBEsol-relaxed geometry, as listed in Alexandria via LeMat-Bulk.

Unit cell a=2.823 b=4.010 c=5.676 alpha=90.00 beta=90.00 gamma=90.00
Fractional coordinates of all 4 atoms:
Li 0.000 0.000 0.000
Ag 0.000 0.000 0.500
Ag 0.500 0.500 0.245
Ag 0.500 0.500 0.755

Summary:
ΔE_f (eV per atom): -0.112
Crystal system: orthorhombic
Space-group type: Pmmm (47)

=====

| no. | uncorrected energy (eV for the cell shown) |
| --- | --- |
| 1 | -121.47 |
| 2 | -96.94 |